Compound: TbPr8Tm2
Source: Alexandria via LeMat-Bulk
Functional: PBE
Structure: optimized geometry

Lattice parameters (Å, degrees): 5.7365 8.3385 16.1908 90.00 90.00 90.00
Closest atoms and distances in Å follow each position.
Space group Immm (No. 71)
Symmetry-distinct sites (fractional):
Tb  0.0000  0.0000  0.0000 x2  4 Pr 3.32
Pr  0.0000  0.2064  0.5000 x4  7 Pr 3.44-3.63, 2 Tm 3.68, 2 Tb 3.77
Pr  0.0000  0.2963  0.1370 x8  1 Tb 3.32, 4 Pr 3.40-3.65, 3 Tm 3.49-3.61
Pr  0.0000  0.5000  0.3367 x4  8 Pr 3.60-3.81, 2 Tm 3.62, 2 Tb 3.90
Tm  0.0000  0.0000  0.2994 x4  10 Pr 3.49-3.68

Values from the calculation:
total magnetization: 0.000 μB per atom
DOS at the Fermi energy: 1.461 states/eV per atom
energy of formation from the pure elements: 0.11 eV per atom
total energy: -4.60 eV per atom